DFT (GGA-PBE) results for LaTbSm2Bi5 after structural relaxation.

Mass density ... 7.58 Mg/m³
DFT formation energy ... -126 meV/atom

Cell: 5.434 5.434 12.191 Å, 90.00 90.00 90.00°
Sites, in units of the cell vectors:
La (0.000, 0.000, 0.000)
Tb (0.000, 0.000, 0.500)
Sm (0.500, 0.500, 0.268)
Sm (0.500, 0.500, 0.732)
Bi (0.000, 0.500, 0.500)
Bi (0.500, 0.000, 0.500)
Bi (0.000, 0.000, 0.749)
Bi (0.000, 0.000, 0.251)
Bi (0.500, 0.500, 0.000)

---

DFT (GGA-PBE) results for LaSmBiTe after structural relaxation.

Mass density ... 7.67 Mg/m³
Formation energy without anion corrections ... -486 kJ/mol of formula units

Cell: 4.586 4.586 7.895 Å, 73.12 73.12 60.00°
Sites, in units of the cell vectors:
La (0.444, 0.444, 0.667)
Sm (0.944, 0.944, 0.168)
Bi (0.197, 0.197, 0.410)
Te (0.691, 0.691, 0.926)

---

DFT (GGA-PBE) results for LaSmTh2Bi5 after structural relaxation.

Mass density ... 8.23 Mg/m³
DFT formation energy ... 53 meV/atom

Cell: 5.495 5.495 12.013 Å, 90.00 90.00 90.00°
Sites, in units of the cell vectors:
La (0.000, 0.000, 0.000)
Sm (0.000, 0.000, 0.500)
Th (0.500, 0.500, 0.305)
Th (0.500, 0.500, 0.695)
Bi (0.000, 0.500, 0.500)
Bi (0.500, 0.000, 0.500)
Bi (0.000, 0.000, 0.749)
Bi (0.000, 0.000, 0.251)
Bi (0.500, 0.500, 0.000)

---

DFT (GGA-PBE) results for La2SmThBi5 after structural relaxation.

Mass density ... 7.10 Mg/m³
DFT formation energy ... -101 meV/atom

Cell: 5.758 5.758 12.033 Å, 90.00 90.00 90.00°
Sites, in units of the cell vectors:
La (0.500, 0.500, 0.283)
La (0.500, 0.500, 0.717)
Sm (0.000, 0.000, 0.000)
Th (0.000, 0.000, 0.500)
Bi (0.000, 0.500, 0.500)
Bi (0.500, 0.000, 0.500)
Bi (0.000, 0.000, 0.755)
Bi (0.000, 0.000, 0.245)
Bi (0.500, 0.500, 0.000)

---

DFT (GGA-PBE) results for La2SmThBi4 after structural relaxation.

Mass density ... 8.80 Mg/m³
DFT formation energy ... -921 meV/atom

Cell: 4.640 8.018 8.049 Å, 109.42 90.00 90.00°
Sites, in units of the cell vectors:
La (0.500, 0.000, 0.500)
La (0.000, 0.500, 0.500)
Sm (0.000, 0.000, 0.000)
Th (0.500, 0.500, 0.000)
Bi (0.500, 0.247, 0.243)
Bi (0.500, 0.753, 0.757)
Bi (0.000, 0.251, 0.756)
Bi (0.000, 0.749, 0.244)

---

DFT (GGA-PBE) results for La2SmTh3Bi6 after structural relaxation.

Mass density ... 9.41 Mg/m³
DFT formation energy ... -798 meV/atom

Cell: 4.622 9.250 10.353 Å, 103.13 102.90 90.00°
Sites, in units of the cell vectors:
La (0.834, 0.668, 0.668)
La (0.166, 0.332, 0.332)
Sm (0.500, 0.000, 0.000)
Th (0.500, 0.500, 0.000)
Th (0.832, 0.165, 0.664)
Th (0.168, 0.835, 0.336)
Bi (0.335, 0.921, 0.669)
Bi (0.666, 0.586, 0.331)
Bi (0.665, 0.079, 0.331)
Bi (0.998, 0.248, 0.996)
Bi (0.002, 0.752, 0.004)
Bi (0.334, 0.414, 0.669)

---

DFT total energy, record by record: -4.39, -5.43, -4.82, -4.70, -5.61, -5.81 eV/atom
N(E_F), record by record: 7.0, 2.1, 4.7, 7.4, 1.9, 6.8 states/eV/f.u.